Entry from Alexandria via LeMat-Bulk: a relaxed structure of TlCdW2 (PBE).

extended XYZ file:
```
4
Lattice="2.889 -4.939 0.000 2.889 4.939 0.000 -1.183 0.000 2.629" Properties=species:S:1:pos:R:3 pbc="T T T"
Tl 0.000 0.000 0.000
Cd 2.889 0.000 0.000
W 0.853 2.470 1.315
W 0.853 -2.470 1.315
```

Computed properties:
* energy of formation: 0.918 eV per atom
* volume: 18.76 Å³ per atom
* DOS at the Fermi energy: 2.32 states/eV per cell